# 1
# La4FeNi3O12, optimized geometry, DFT PBE with a Hubbard U
data_La4FeNi3O12
_cell_length_a 5.434
_cell_length_b 5.563
_cell_length_c 7.798
_cell_angle_alpha 89.99
_cell_angle_beta 88.48
_cell_angle_gamma 89.81
_symmetry_space_group_name_H-M 'P -1'
_symmetry_Int_Tables_number 2
loop_
_symmetry_equiv_pos_as_xyz
'x,y,z'
'-x,-y,-z'
loop_
_atom_site_label
_atom_site_fract_x
_atom_site_fract_y
_atom_site_fract_z
La1 0.001 0.000 0.246
La2 0.499 0.500 0.751
Fe1 0.000 0.500 0.500
Ni1 0.000 0.500 0.000
Ni2 0.500 0.000 0.000
Ni3 0.500 0.000 0.500
O1 0.007 0.566 0.745
O2 0.216 0.775 0.461
O3 0.221 0.215 0.971
O4 0.276 0.292 0.526
O5 0.283 0.725 0.036
O6 0.494 0.935 0.754
# Electronic total energy (eV/atom): -6.8429
# D(E_F) (states/eV/atom): 0.055
# Calculated density (g/cm³): 6.9

***

# 2
# La2FeNiO6, optimized geometry, DFT PBE with a Hubbard U
data_La2FeNiO6
_cell_length_a 5.521
_cell_length_b 5.522
_cell_length_c 9.548
_cell_angle_alpha 90.00
_cell_angle_beta 124.84
_cell_angle_gamma 90.00
_symmetry_space_group_name_H-M 'P 1 21/c 1'
_symmetry_Int_Tables_number 14
loop_
_symmetry_equiv_pos_as_xyz
'x,y,z'
'-x,-y,-z'
'-x,y+1/2,-z+1/2'
'x,-y+1/2,z+1/2'
loop_
_atom_site_label
_atom_site_fract_x
_atom_site_fract_y
_atom_site_fract_z
La1 0.243 0.032 0.249
Fe1 0.000 0.000 0.500
Ni1 0.500 0.000 0.000
O1 0.172 0.223 0.958
O2 0.233 0.711 0.963
O3 0.317 0.014 0.744
# Electronic total energy (eV/atom): -7.0666
# Calculated density (g/cm³): 6.8

***

# 3
# LaZnFeNiO6, optimized geometry, DFT PBE with a Hubbard U
data_LaZnFeNiO6
_cell_length_a 5.288
_cell_length_b 5.479
_cell_length_c 9.273
_cell_angle_alpha 90.00
_cell_angle_beta 124.62
_cell_angle_gamma 90.00
_symmetry_space_group_name_H-M 'P 1 c 1'
_symmetry_Int_Tables_number 7
loop_
_symmetry_equiv_pos_as_xyz
'x,y,z'
'x,-y,z+1/2'
loop_
_atom_site_label
_atom_site_fract_x
_atom_site_fract_y
_atom_site_fract_z
La1 0.000 0.224 0.000
Zn1 0.462 0.285 0.500
Fe1 0.742 0.253 0.252
Ni1 0.239 0.250 0.749
O1 0.047 0.500 0.311
O2 0.094 0.043 0.307
O3 0.432 0.499 0.194
O4 0.484 0.038 0.692
O5 0.570 0.283 0.005
O6 0.848 0.234 0.496
# Electronic total energy (eV/atom): -6.0120
# D(E_F) (states/eV/atom): 0.298
# Calculated density (g/cm³): 6.2

***

> Which of these has the highest electronic total energy?

LaZnFeNiO6